Entry 1:
Material: Zn2CrRh
Method: DFT, GGA-PBE
State: relaxed

Unit cell a=3.132 b=3.132 c=5.823 alpha=90.00 beta=90.00 gamma=90.00
Element x y z (fractional)
1 Rh 0.500 0.500 0.750
2 Zn 0.000 0.000 0.509
3 Cr 0.500 0.500 0.250
4 Zn 0.000 0.000 0.991

Its formation energy is -0.09 eV/atom. The size of the total moment comes out at 3.9 μB per formula unit. The calculation puts the energy above the most stable polymorph in this dataset at 0.044 eV/atom.



Entry 2:
Material: Pr8Ir3PdBr4
Method: DFT, GGA-PBE
State: relaxed

Unit cell a=8.422 b=9.229 c=8.421 alpha=117.16 beta=120.00 gamma=90.00
Element x y z (fractional)
1 Pr 0.723 0.697 0.960
2 Ir 0.500 0.500 0.500
3 Pr 0.237 0.697 0.473
4 Br 0.000 0.000 0.000
5 Pd 0.000 0.500 0.000
6 Br 0.500 0.000 0.500
7 Pr 0.763 0.303 0.527
8 Ir 0.500 0.500 0.000
9 Pr 0.237 0.697 0.960
10 Br 0.000 0.000 0.500
11 Br 0.500 0.000 0.000
12 Pr 0.763 0.303 0.040
13 Pr 0.268 0.304 0.536
14 Pr 0.732 0.696 0.464
15 Ir 0.000 0.500 0.500
16 Pr 0.277 0.303 0.040

The calculation puts the raw formation energy at -104.1 kJ/mol of atoms. The size of the total moment comes out at 0.0 μB per formula unit.



Entry 3:
Material: Sr5MgCd2
Method: DFT, GGA-PBE
State: relaxed

Unit cell a=8.975 b=8.975 c=10.279 alpha=115.89 beta=115.89 gamma=90.00
Element x y z (fractional)
1 Cd 0.874 0.626 0.000
2 Cd 0.374 0.874 0.000
3 Sr 0.191 0.020 0.711
4 Sr 0.980 0.480 0.289
5 Mg 0.750 0.750 0.500
6 Sr 0.480 0.309 0.289
7 Sr 0.020 0.520 0.711
8 Mg 0.250 0.250 0.500
9 Sr 0.000 0.000 0.000
10 Sr 0.500 0.500 0.000
11 Cd 0.126 0.374 0.000
12 Sr 0.809 0.980 0.289
13 Sr 0.309 0.809 0.289
14 Sr 0.691 0.191 0.711
15 Cd 0.626 0.126 0.000
16 Sr 0.520 0.691 0.711

Its formation energy is -0.18 eV/atom. The size of the total moment comes out at 0.0 μB per formula unit.



Entry 4:
Material: Sr2SiSn2Au4
Method: DFT, GGA-PBE
State: relaxed

Unit cell a=6.834 b=6.834 c=6.834 alpha=88.20 beta=121.05 gamma=121.05
Element x y z (fractional)
1 Au 0.515 0.257 0.257
2 Sn 0.000 0.323 0.323
3 Sn 0.000 0.677 0.677
4 Au 0.000 0.257 0.743
5 Au 0.485 0.743 0.743
6 Au 0.000 0.743 0.257
7 Si 0.000 0.000 0.000
8 Sr 0.500 0.250 0.750
9 Sr 0.500 0.750 0.250

The calculation puts the raw formation energy at -45.4 kJ/mol of atoms. The size of the total moment comes out at 0.0 μB per formula unit.



Entry 5:
Material: Dy2Y5Er2
Method: DFT, GGA-PBE
State: relaxed

Unit cell a=3.546 b=11.778 c=7.952 alpha=61.79 beta=102.94 gamma=98.66
Element x y z (fractional)
1 Er 0.999 0.666 0.332
2 Y 0.667 0.888 0.446
3 Y 0.334 0.444 0.224
4 Y 0.000 0.000 0.000
5 Y 0.333 0.112 0.554
6 Dy 0.666 0.223 0.109
7 Dy 0.334 0.777 0.891
8 Y 0.666 0.556 0.776
9 Er 0.001 0.334 0.668

Its formation energy is 0.02 eV/atom. The size of the total moment comes out at 0.0 μB per formula unit. The calculation puts the energy above the most stable polymorph in this dataset at 0.000 eV/atom.



Entry 6:
Material: Ca3FeBi
Method: DFT, GGA-PBE
State: relaxed

Unit cell a=5.960 b=5.960 c=5.960 alpha=90.00 beta=90.00 gamma=90.00
Element x y z (fractional)
1 Ca 0.500 0.000 0.000
2 Ca 0.000 0.500 0.000
3 Bi 0.000 0.000 0.000
4 Fe 0.500 0.500 0.500
5 Ca 0.000 0.000 0.500

Its formation energy is 0.48 eV/atom. The size of the total moment comes out at 2.1 μB per formula unit. The calculation puts the energy above the most stable polymorph in this dataset at 0.396 eV/atom.



Entry 7:
Material: Tb3EuFe
Method: DFT, GGA-PBE
State: relaxed

Unit cell a=5.352 b=5.352 c=5.352 alpha=90.00 beta=90.00 gamma=90.00
Element x y z (fractional)
1 Tb 0.000 0.000 0.500
2 Tb 0.500 0.000 0.000
3 Tb 0.000 0.500 0.000
4 Fe 0.000 0.000 0.000
5 Eu 0.500 0.500 0.500

Its formation energy is 0.07 eV/atom. The size of the total moment comes out at 7.2 μB per formula unit.



Entry 8:
Material: Li2DyY2Ga2
Method: DFT, GGA-PBE
State: relaxed

Unit cell a=4.581 b=4.581 c=9.284 alpha=75.72 beta=75.72 gamma=60.00
Element x y z (fractional)
1 Ga 0.737 0.737 0.788
2 Dy 0.000 0.000 0.000
3 Li 0.604 0.604 0.188
4 Ga 0.263 0.263 0.212
5 Y 0.125 0.125 0.624
6 Y 0.875 0.875 0.376
7 Li 0.396 0.396 0.812

Its formation energy is -0.29 eV/atom. The size of the total moment comes out at 0.0 μB per formula unit.



Entry 9:
Material: PmPHRh2
Method: DFT, GGA-PBE
State: relaxed

Unit cell a=3.828 b=5.655 c=7.098 alpha=90.00 beta=90.00 gamma=109.78
Element x y z (fractional)
1 Rh 0.163 0.327 0.944
2 Pm 0.443 0.887 0.750
3 Pm 0.557 0.113 0.250
4 P 0.723 0.447 0.750
5 P 0.277 0.553 0.250
6 H 0.000 0.000 0.500
7 Rh 0.837 0.673 0.444
8 Rh 0.163 0.327 0.556
9 Rh 0.837 0.673 0.056
10 H 0.000 0.000 0.000

The size of the total moment comes out at 0.0 μB per formula unit.



Entry 10:
Material: CeSm3Er6
Method: DFT, GGA-PBE
State: relaxed

Unit cell a=6.178 b=10.882 c=10.882 alpha=119.35 beta=90.00 gamma=90.00
Element x y z (fractional)
1 Ce 0.652 0.793 0.207
2 Er 0.638 0.281 0.719
3 Er 0.412 0.951 0.049
4 Er 0.534 0.290 0.382
5 Sm 0.450 0.940 0.716
6 Er 0.875 0.455 0.037
7 Er 0.375 0.037 0.455
8 Er 0.138 0.719 0.281
9 Er 0.034 0.710 0.618
10 Sm 0.450 0.284 0.060
11 Ce 0.152 0.207 0.793
12 Er 0.034 0.382 0.290
13 Sm 0.950 0.716 0.940
14 Sm 0.567 0.611 0.389
15 Er 0.534 0.618 0.710
16 Sm 0.950 0.060 0.284
17 Er 0.375 0.545 0.963
18 Er 0.912 0.049 0.951
19 Er 0.875 0.963 0.545
20 Sm 0.067 0.389 0.611

Its formation energy is 0.16 eV/atom. The size of the total moment comes out at 0.8 μB per formula unit. The calculation puts the energy above the most stable polymorph in this dataset at 0.118 eV/atom.



| no. | E_tot (eV/cell) |
| --- | --- |
| 1 | -19.9 |
| 2 | -94.0 |
| 3 | -26.6 |
| 4 | -34.1 |
| 5 | -50.4 |
| 6 | -15.9 |
| 7 | -32.3 |
| 8 | -29.4 |
| 9 | -65.3 |
| 10 | -91.7 |